Material: CsRbBaPPt
Method: DFT, PBE
State: optimized geometry

The energy relative to the lowest polymorph listed for this composition is 172 meV/atom. The formation energy from the elements comes out at -0.334 eV/atom. The value obtained for the total energy is -16.87 eV per cell. As for the total magnetization: 0.000 μB per atom.

It has space group P1 (No. 1), with a = 4.494 Å, b = 4.626 Å, c = 12.332 Å, α = 79.43°, β = 79.58° and γ = 89.99°. Symmetry generates all atoms from Cs at (0.000, 0.000, 0.000), Rb at (0.308, 0.320, 0.378), Ba at (0.152, 0.670, 0.692), P at (0.607, 0.127, 0.783) and Pt at (0.701, 0.220, 0.594).

=====

Material: CsRbBaPPt
Method: DFT, PBE
State: optimized geometry

The energy relative to the lowest polymorph listed for this composition is 0 meV/atom. The formation energy from the elements comes out at -0.507 eV/atom. The value obtained for the total energy is -17.73 eV per cell. As for the total magnetization: 0.000 μB per atom.

It has space group Pm (No. 6), with a = 4.411 Å, b = 4.800 Å, c = 11.963 Å, α = 90.00°, β = 100.52° and γ = 90.00°. Symmetry generates all atoms from Cs at (0.000, 0.000, 0.000), Rb at (0.686, 0.500, 0.364), Ba at (0.336, 0.000, 0.667), P at (0.419, 0.500, 0.837) and Pt at (0.888, 0.500, 0.774).

=====

no.,density of states at the Fermi level (states/eV/f.u.)
1,4.614
2,2.975